(1)
AcErCdGe | PBE | relaxed

Cell lengths 7.616, 7.616, 7.616 Å; angles 90.00, 90.00, 90.00 degrees
Space group F-43m (No. 216)
One atom of each set of equivalent atoms:
Ac 0.000 0.000 0.000 [4 per cell]
Er 0.000 0.000 0.500 [4 per cell]
Cd 0.250 0.250 0.750 [4 per cell]
Ge 0.250 0.250 0.250 [4 per cell]



(2)
Ac2ErCdHg6 | PBE | relaxed

Cell lengths 10.970, 10.970, 10.970 Å; angles 90.00, 90.00, 90.00 degrees
Space group Fm-3m (No. 225)
One atom of each set of equivalent atoms:
Ac 0.250 0.250 0.250 [8 per cell]
Er 0.000 0.000 0.000 [4 per cell]
Cd 0.000 0.000 0.500 [4 per cell]
Hg 0.000 0.000 0.253 [24 per cell]



(3)
AcErCd2In2 | PBE | relaxed

Cell lengths 4.9573, 4.9573, 7.8265 Å; angles 90.00, 90.00, 120.00 degrees
Space group P-3m1 (No. 164)
One atom of each set of equivalent atoms:
Ac 0.0000 0.0000 0.0000 [1 per cell]
Er 0.0000 0.0000 0.5000 [1 per cell]
Cd 0.3333 0.6667 0.6998 [2 per cell]
In 0.3333 0.6667 0.2729 [2 per cell]



(4)
Ac2ErCd3In4 | PBE | relaxed

Cell lengths 4.786, 4.786, 12.646 Å; angles 90.00, 90.00, 90.00 degrees
Space group P-4m2 (No. 115)
One atom of each set of equivalent atoms:
Ac 0.000 0.500 0.240 [2 per cell]
Er 0.000 0.000 0.500 [1 per cell]
Cd 0.000 0.500 0.866 [2 per cell]
Cd 0.500 0.500 0.500 [1 per cell]
In 0.000 0.000 0.000 [1 per cell]
In 0.000 0.500 0.647 [2 per cell]
In 0.500 0.500 0.000 [1 per cell]



The records above give, respectively, energy of formation values of -1.525, -0.571, -2.456, -3.343 eV/f.u..